Compound: Zn2CrRh
Source: Alexandria
Functional: PBE
Structure: relaxed

abc: 4.638 4.638 4.638
angles: 130.39 130.39 72.78
Sites, in units of the cell vectors:
1 Zn 0.250 0.750 0.500
2 Zn 0.750 0.250 0.500
3 Cr 0.000 0.000 0.000
4 Rh 0.500 0.500 0.000

Values from the calculation:
Its space group is No. 139. For the theoretical density, the calculation gives 8.39 g/cm3. The value obtained for the energy relative to the elements is -134 meV per atom.

Compound: NbB
Source: Alexandria
Functional: PBE
Structure: relaxed

abc: 4.696 4.696 3.179
angles: 90.00 90.00 138.66
Sites, in units of the cell vectors:
1 Nb 0.145 0.855 0.750
2 Nb 0.855 0.145 0.250
3 B 0.442 0.558 0.750
4 B 0.558 0.442 0.250

Values from the calculation:
Its space group is No. 63. For the theoretical density, the calculation gives 7.44 g/cm3. The value obtained for the energy relative to the elements is -784 meV per atom.

Compound: PrBi3Au3
Source: Alexandria
Functional: PBE
Structure: relaxed

abc: 7.798 7.798 7.798
angles: 90.00 90.00 90.00
Sites, in units of the cell vectors:
1 Pr 0.000 0.000 0.000
2 Pr 0.500 0.500 0.500
3 Bi 0.000 0.250 0.500
4 Bi 0.000 0.750 0.500
5 Bi 0.250 0.500 0.000
6 Bi 0.500 0.000 0.250
7 Bi 0.500 0.000 0.750
8 Bi 0.750 0.500 0.000
9 Au 0.000 0.500 0.250
10 Au 0.000 0.500 0.750
11 Au 0.250 0.000 0.500
12 Au 0.500 0.250 0.000
13 Au 0.500 0.750 0.000
14 Au 0.750 0.000 0.500

Values from the calculation:
Its space group is No. 223. For the theoretical density, the calculation gives 9.51 g/cm3. The value obtained for the energy relative to the elements is 139 meV per atom.

Compound: Li2TcNi2
Source: Alexandria
Functional: PBE
Structure: relaxed

abc: 6.730 6.730 2.541
angles: 90.00 90.00 90.00
Sites, in units of the cell vectors:
1 Li 0.112 0.388 0.000
2 Li 0.388 0.888 0.000
3 Li 0.612 0.112 0.000
4 Li 0.888 0.612 0.000
5 Tc 0.000 0.000 0.000
6 Tc 0.500 0.500 0.000
7 Ni 0.192 0.692 0.500
8 Ni 0.308 0.192 0.500
9 Ni 0.692 0.808 0.500
10 Ni 0.808 0.308 0.500

Values from the calculation:
Its space group is No. 127. For the theoretical density, the calculation gives 6.62 g/cm3. The value obtained for the energy relative to the elements is 182 meV per atom.

Compound: PPd4I5
Source: Alexandria
Functional: PBE
Structure: relaxed

abc: 10.450 10.450 7.298
angles: 99.74 99.74 21.03
Sites, in units of the cell vectors:
1 P 0.000 0.000 0.000
2 Pd 0.121 0.121 0.074
3 Pd 0.479 0.479 0.806
4 Pd 0.521 0.521 0.194
5 Pd 0.879 0.879 0.926
6 I 0.000 0.000 0.500
7 I 0.338 0.338 0.649
8 I 0.347 0.347 0.163
9 I 0.653 0.653 0.837
10 I 0.662 0.662 0.351

Values from the calculation:
The value obtained for the formation energy (no corrections) is -130 meV per atom. Its space group is No. 12. For the theoretical density, the calculation gives 6.43 g/cm3.

Compound: PmTm4Tl
Source: Alexandria
Functional: PBE
Structure: relaxed

abc: 10.843 10.843 6.479
angles: 90.00 90.00 150.56
Sites, in units of the cell vectors:
1 Pm 0.063 0.937 0.500
2 Pm 0.937 0.063 0.000
3 Tm 0.140 0.860 0.014
4 Tm 0.256 0.744 0.377
5 Tm 0.317 0.683 0.856
6 Tm 0.459 0.541 0.675
7 Tm 0.541 0.459 0.175
8 Tm 0.683 0.317 0.356
9 Tm 0.744 0.256 0.877
10 Tm 0.860 0.140 0.514
11 Tl 0.398 0.602 0.252
12 Tl 0.602 0.398 0.752

Values from the calculation:
Its space group is No. 36. For the theoretical density, the calculation gives 9.09 g/cm3. The value obtained for the energy relative to the elements is 33 meV per atom.

Compound: VSiRuPb2
Source: Alexandria
Functional: PBE
Structure: relaxed

abc: 5.189 5.189 4.592
angles: 90.00 90.00 90.00
Sites, in units of the cell vectors:
1 V 0.000 0.000 0.000
2 Si 0.000 0.000 0.500
3 Ru 0.500 0.500 0.500
4 Pb 0.000 0.500 0.000
5 Pb 0.500 0.000 0.000

Values from the calculation:
The value obtained for the formation energy (no corrections) is 1134 meV per atom. Its space group is No. 123. For the theoretical density, the calculation gives 7.98 g/cm3.

Compound: Tl4ReTe
Source: Alexandria
Functional: PBE
Structure: relaxed

abc: 6.323 6.323 6.323
angles: 60.00 60.00 60.00
Sites, in units of the cell vectors:
1 Tl 0.125 0.125 0.125
2 Tl 0.125 0.125 0.626
3 Tl 0.125 0.626 0.125
4 Tl 0.626 0.125 0.125
5 Re 0.750 0.750 0.750
6 Te 0.500 0.500 0.500

Values from the calculation:
The value obtained for the formation energy (no corrections) is 1028 meV per atom. Its space group is No. 216. For the theoretical density, the calculation gives 10.51 g/cm3.

Compound: ZrPaP2N
Source: Alexandria
Functional: PBE
Structure: relaxed

abc: 3.787 3.787 12.816
angles: 90.00 90.00 90.00
Sites, in units of the cell vectors:
1 Zr 0.250 0.250 0.104
2 Zr 0.750 0.750 0.896
3 Pa 0.250 0.250 0.599
4 Pa 0.750 0.750 0.401
5 P 0.250 0.250 0.302
6 P 0.250 0.250 0.890
7 P 0.750 0.750 0.110
8 P 0.750 0.750 0.698
9 N 0.250 0.750 0.500
10 N 0.750 0.250 0.500

Values from the calculation:
The value obtained for the formation energy (no corrections) is -1303 meV per atom. Its space group is No. 129. For the theoretical density, the calculation gives 7.19 g/cm3.

Compound: Sr3Mg2
Source: Alexandria
Functional: PBE
Structure: relaxed

abc: 14.623 14.623 14.623
angles: 16.39 16.39 16.39
Sites, in units of the cell vectors:
1 Sr 0.000 0.000 0.000
2 Sr 0.208 0.208 0.208
3 Sr 0.792 0.792 0.792
4 Mg 0.396 0.396 0.396
5 Mg 0.604 0.604 0.604

Values from the calculation:
Its space group is No. 166. For the theoretical density, the calculation gives 2.38 g/cm3. The value obtained for the energy relative to the elements is 107 meV per atom.

Compound: LiNdMgAu
Source: Alexandria
Functional: PBE
Structure: relaxed

abc: 4.994 4.994 4.994
angles: 60.00 60.00 60.00
Sites, in units of the cell vectors:
1 Li 0.000 0.000 0.000
2 Nd 0.250 0.250 0.250
3 Mg 0.750 0.750 0.750
4 Au 0.500 0.500 0.500

Values from the calculation:
Its space group is No. 216. For the theoretical density, the calculation gives 7.02 g/cm3. The value obtained for the energy relative to the elements is -438 meV per atom.

Compound: VMoS2Cl
Source: Alexandria
Functional: PBE
Structure: relaxed

abc: 4.670 4.670 4.864
angles: 90.00 90.00 90.00
Sites, in units of the cell vectors:
1 V 0.000 0.000 0.000
2 Mo 0.500 0.500 0.500
3 S 0.000 0.500 0.500
4 S 0.500 0.000 0.500
5 Cl 0.500 0.500 0.000

Values from the calculation:
The value obtained for the formation energy (no corrections) is 273 meV per atom. Its space group is No. 123. For the theoretical density, the calculation gives 3.86 g/cm3.

Compound: Be17FeRh
Source: Alexandria
Functional: PBE
Structure: relaxed

abc: 5.426 5.426 5.426
angles: 82.51 82.51 82.51
Sites, in units of the cell vectors:
1 Be 0.050 0.050 0.050
2 Be 0.150 0.150 0.656
3 Be 0.150 0.462 0.847
4 Be 0.150 0.656 0.150
5 Be 0.150 0.847 0.462
6 Be 0.255 0.255 0.255
7 Be 0.311 0.806 0.806
8 Be 0.462 0.150 0.847
9 Be 0.462 0.847 0.150
10 Be 0.505 0.505 0.990
11 Be 0.505 0.990 0.505
12 Be 0.656 0.150 0.150
13 Be 0.806 0.311 0.806
14 Be 0.806 0.806 0.311
15 Be 0.847 0.150 0.462
16 Be 0.847 0.462 0.150
17 Be 0.990 0.505 0.505
18 Fe 0.820 0.820 0.820
19 Rh 0.493 0.493 0.493

Values from the calculation:
Its space group is No. 160. For the theoretical density, the calculation gives 3.32 g/cm3. The value obtained for the energy relative to the elements is -149 meV per atom.

Compound: Tb2Tm5Tl4
Source: Alexandria
Functional: PBE
Structure: relaxed

abc: 15.067 15.067 15.067
angles: 166.89 147.22 35.44
Sites, in units of the cell vectors:
1 Tb 0.097 0.097 0.000
2 Tb 0.903 0.903 0.000
3 Tm 0.000 0.500 0.500
4 Tm 0.006 0.202 0.804
5 Tm 0.398 0.202 0.196
6 Tm 0.602 0.798 0.804
7 Tm 0.994 0.798 0.196
8 Tl 0.303 0.303 0.000
9 Tl 0.317 0.000 0.317
10 Tl 0.683 0.000 0.683
11 Tl 0.697 0.697 0.000

Values from the calculation:
Its space group is No. 71. For the theoretical density, the calculation gives 7.83 g/cm3. The value obtained for the energy relative to the elements is 340 meV per atom.

Compound: Dy2Tm5CdRu2
Source: Alexandria
Functional: PBE
Structure: relaxed

abc: 11.601 11.601 3.840
angles: 90.00 90.00 90.00
Sites, in units of the cell vectors:
1 Dy 0.185 0.315 0.000
2 Dy 0.315 0.815 0.000
3 Dy 0.685 0.185 0.000
4 Dy 0.815 0.685 0.000
5 Tm 0.000 0.500 0.500
6 Tm 0.063 0.786 0.500
7 Tm 0.214 0.063 0.500
8 Tm 0.286 0.563 0.500
9 Tm 0.437 0.286 0.500
10 Tm 0.500 0.000 0.500
11 Tm 0.563 0.714 0.500
12 Tm 0.714 0.437 0.500
13 Tm 0.786 0.937 0.500
14 Tm 0.937 0.214 0.500
15 Cd 0.000 0.000 0.000
16 Cd 0.500 0.500 0.000
17 Ru 0.129 0.629 0.000
18 Ru 0.371 0.129 0.000
19 Ru 0.629 0.871 0.000
20 Ru 0.871 0.371 0.000

Values from the calculation:
Its space group is No. 127. For the theoretical density, the calculation gives 9.54 g/cm3. The value obtained for the energy relative to the elements is -316 meV per atom.

Compound: PmSb2As2Pd7
Source: Alexandria
Functional: PBE
Structure: relaxed

abc: 15.700 15.700 15.700
angles: 165.34 165.34 20.79
Sites, in units of the cell vectors:
1 Pm 0.000 0.000 0.000
2 Sb 0.214 0.214 0.000
3 Sb 0.786 0.786 0.000
4 As 0.380 0.380 0.000
5 As 0.620 0.620 0.000
6 Pd 0.073 0.573 0.500
7 Pd 0.300 0.300 0.000
8 Pd 0.427 0.927 0.500
9 Pd 0.500 0.500 0.000
10 Pd 0.573 0.073 0.500
11 Pd 0.700 0.700 0.000
12 Pd 0.927 0.427 0.500

Values from the calculation:
The value obtained for the formation energy (no corrections) is -470 meV per atom. Its space group is No. 139. For the theoretical density, the calculation gives 8.60 g/cm3.

Compound: InIrSe2
Source: Alexandria
Functional: PBE
Structure: relaxed

abc: 7.227 7.227 7.227
angles: 129.20 129.20 74.69
Sites, in units of the cell vectors:
1 In 0.000 0.000 0.000
2 In 0.750 0.250 0.500
3 Ir 0.250 0.750 0.500
4 Ir 0.500 0.500 0.000
5 Se 0.190 0.625 0.065
6 Se 0.375 0.440 0.565
7 Se 0.560 0.125 0.935
8 Se 0.875 0.810 0.435

Values from the calculation:
The value obtained for the formation energy (no corrections) is -39 meV per atom. Its space group is No. 122. For the theoretical density, the calculation gives 6.99 g/cm3.

Compound: GeTe2CI
Source: Alexandria
Functional: PBE
Structure: relaxed

abc: 4.853 4.853 5.010
angles: 90.00 90.00 90.00
Sites, in units of the cell vectors:
1 Ge 0.000 0.000 0.000
2 Te 0.000 0.500 0.500
3 Te 0.500 0.000 0.500
4 C 0.500 0.500 0.500
5 I 0.500 0.500 0.000

Values from the calculation:
The value obtained for the formation energy (no corrections) is 1078 meV per atom. Its space group is No. 123. For the theoretical density, the calculation gives 6.57 g/cm3.

Compound: YTc2GeOs
Source: Alexandria
Functional: PBE
Structure: relaxed

abc: 4.506 4.506 5.054
angles: 90.00 90.00 90.00
Sites, in units of the cell vectors:
1 Y 0.000 0.000 0.000
2 Tc 0.000 0.500 0.500
3 Tc 0.500 0.000 0.500
4 Ge 0.000 0.000 0.500
5 Os 0.500 0.500 0.000

Values from the calculation:
Its space group is No. 123. For the theoretical density, the calculation gives 8.86 g/cm3. The value obtained for the energy relative to the elements is 1301 meV per atom.

Compound: TaFeSe2
Source: Alexandria
Functional: PBE
Structure: relaxed

abc: 4.433 4.433 4.433
angles: 60.00 60.00 60.00
Sites, in units of the cell vectors:
1 Ta 0.000 0.000 0.000
2 Fe 0.500 0.500 0.500
3 Se 0.250 0.250 0.250
4 Se 0.750 0.750 0.750

Values from the calculation:
The value obtained for the formation energy (no corrections) is 100 meV per atom. Its space group is No. 225. For the theoretical density, the calculation gives 10.64 g/cm3.

Number 1: calculated volume 56.5 Å³/cell, E_tot -5.014 eV per atom. Number 2: calculated volume 46.3 Å³/cell, E_tot -9.158 eV per atom. Number 3: calculated volume 474.3 Å³/cell, E_tot -3.612 eV per atom. Number 4: calculated volume 115.1 Å³/cell, E_tot -4.969 eV per atom. Number 5: calculated volume 281.8 Å³/cell, E_tot -3.523 eV per atom. Number 6: calculated volume 374.4 Å³/cell, E_tot -4.134 eV per atom. Number 7: calculated volume 123.7 Å³/cell, E_tot -5.113 eV per atom. Number 8: calculated volume 178.7 Å³/cell, E_tot -3.148 eV per atom. Number 9: calculated volume 183.8 Å³/cell, E_tot -8.741 eV per atom. Number 10: calculated volume 217.0 Å³/cell, E_tot -1.540 eV per atom. Number 11: calculated volume 88.1 Å³/cell, E_tot -3.326 eV per atom. Number 12: calculated volume 106.1 Å³/cell, E_tot -5.737 eV per atom. Number 13: calculated volume 156.0 Å³/cell, E_tot -4.315 eV per atom. Number 14: calculated volume 419.9 Å³/cell, E_tot -3.395 eV per atom. Number 15: calculated volume 516.8 Å³/cell, E_tot -5.419 eV per atom. Number 16: calculated volume 247.8 Å³/cell, E_tot -5.357 eV per atom. Number 17: calculated volume 220.9 Å³/cell, E_tot -4.681 eV per atom. Number 18: calculated volume 118.0 Å³/cell, E_tot -3.257 eV per atom. Number 19: calculated volume 102.6 Å³/cell, E_tot -7.308 eV per atom. Number 20: calculated volume 61.6 Å³/cell, E_tot -6.721 eV per atom.